Run i
A PBEsol-optimized structure of NiIrPb2. Source: the Alexandria database, functional SCAN.

Unit cell a=4.587 b=4.801 c=6.629 alpha=90.00 beta=90.00 gamma=90.00
Positions (direct):
1 Ni 0.000 0.000 0.000
2 Ni 0.500 0.500 0.500
3 Ir 0.000 0.000 0.500
4 Ir 0.500 0.500 0.000
5 Pb 0.000 0.500 0.252
6 Pb 0.000 0.500 0.748
7 Pb 0.500 0.000 0.248
8 Pb 0.500 0.000 0.752

Values from the calculation:
Crystal system: orthorhombic
D(E_F) in states/eV/cell: 5.5
Space group: Immm (71)
Total moment in μB per cell: 0.00

---

Run ii
A PBEsol-optimized structure of NiIrPb2. Source: the Alexandria database, functional SCAN.

Unit cell a=3.114 b=3.114 c=29.312 alpha=90.00 beta=90.00 gamma=120.00
Positions (direct):
1 Ni 0.000 0.000 0.000
2 Ni 0.333 0.667 0.667
3 Ni 0.667 0.333 0.333
4 Ir 0.000 0.000 0.726
5 Ir 0.333 0.667 0.393
6 Ir 0.667 0.333 0.059
7 Pb 0.000 0.000 0.261
8 Pb 0.000 0.000 0.471
9 Pb 0.333 0.667 0.137
10 Pb 0.333 0.667 0.928
11 Pb 0.667 0.333 0.594
12 Pb 0.667 0.333 0.804

Values from the calculation:
Crystal system: trigonal
D(E_F) in states/eV/cell: 7.7
Space group: R3m (160)
Total moment in μB per cell: 2.83

---

Computed relative energies in units of eV/atom: run i 0.039; run ii 0.000

---

Run i
A PBEsol-optimized structure of Ni2IrPt. Source: the Alexandria database, functional SCAN.

Unit cell a=8.448 b=2.654 c=4.615 alpha=90.00 beta=100.36 gamma=90.00
Positions (direct):
1 Ni 0.248 0.000 0.238
2 Ni 0.252 0.500 0.762
3 Ni 0.748 0.500 0.238
4 Ni 0.752 0.000 0.762
5 Ir 0.000 0.500 0.000
6 Ir 0.500 0.000 0.000
7 Pt 0.000 0.000 0.500
8 Pt 0.500 0.500 0.500

Values from the calculation:
Crystal system: monoclinic
D(E_F) in states/eV/cell: 5.8
Space group: C2/m (12)
Total moment in μB per cell: 4.59

---

Run ii
A PBEsol-optimized structure of Ni2IrPt. Source: the Alexandria database, functional SCAN.

Unit cell a=8.676 b=2.670 c=4.415 alpha=90.00 beta=101.19 gamma=90.00
Positions (direct):
1 Ni 0.000 0.000 0.000
2 Ni 0.246 0.500 0.249
3 Ni 0.500 0.500 0.000
4 Ni 0.746 0.000 0.249
5 Ir 0.493 0.000 0.485
6 Ir 0.993 0.500 0.485
7 Pt 0.247 0.000 0.754
8 Pt 0.747 0.500 0.754

Values from the calculation:
Crystal system: monoclinic
D(E_F) in states/eV/cell: 8.9
Space group: Cm (8)
Total moment in μB per cell: 4.42

---

Run iii
A PBEsol-optimized structure of Ni2IrPt. Source: the Alexandria database, functional SCAN.

Unit cell a=3.661 b=3.661 c=7.464 alpha=90.00 beta=90.00 gamma=90.00
Positions (direct):
1 Ni 0.000 0.000 0.000
2 Ni 0.000 0.500 0.250
3 Ni 0.500 0.000 0.750
4 Ni 0.500 0.500 0.500
5 Ir 0.000 0.500 0.750
6 Ir 0.500 0.000 0.250
7 Pt 0.000 0.000 0.500
8 Pt 0.500 0.500 0.000

Values from the calculation:
Crystal system: tetragonal
D(E_F) in states/eV/cell: 8.2
Space group: I-4m2 (119)
Total moment in μB per cell: 2.85

---

Run iv
A PBEsol-optimized structure of Ni2IrPt. Source: the Alexandria database, functional SCAN.

Unit cell a=5.321 b=7.081 c=2.654 alpha=90.00 beta=90.00 gamma=90.00
Positions (direct):
1 Ni 0.250 0.250 0.000
2 Ni 0.250 0.750 0.000
3 Ni 0.750 0.250 0.000
4 Ni 0.750 0.750 0.000
5 Ir 0.000 0.000 0.500
6 Ir 0.500 0.500 0.500
7 Pt 0.000 0.500 0.500
8 Pt 0.500 0.000 0.500

Values from the calculation:
Crystal system: orthorhombic
D(E_F) in states/eV/cell: 10.2
Space group: Cmmm (65)
Total moment in μB per cell: 0.02

---

Computed relative energies in units of eV/atom: run i 0.000; run ii 0.058; run iii 0.053; run iv 0.066

---

Run i
A PBEsol-optimized structure of Ni2IrPt. Source: the Alexandria database, functional SCAN.

Unit cell a=4.439 b=2.651 c=4.610 alpha=90.00 beta=110.40 gamma=90.00
Positions (direct):
1 Ni 0.000 0.000 0.000
2 Ni 0.000 0.500 0.500
3 Ir 0.500 0.000 0.500
4 Pt 0.500 0.500 0.000

Values from the calculation:
Crystal system: monoclinic
D(E_F) in states/eV/cell: 2.8
Space group: P2/m (10)
Total moment in μB per cell: 2.27

---

Run ii
A PBEsol-optimized structure of Ni2IrPt. Source: the Alexandria database, functional SCAN.

Unit cell a=5.905 b=5.905 c=5.905 alpha=90.00 beta=90.00 gamma=90.00
Positions (direct):
1 Ni 0.000 0.000 0.000
2 Ni 0.000 0.500 0.500
3 Ni 0.250 0.250 0.250
4 Ni 0.250 0.750 0.750
5 Ni 0.500 0.000 0.500
6 Ni 0.500 0.500 0.000
7 Ni 0.750 0.250 0.750
8 Ni 0.750 0.750 0.250
9 Ir 0.250 0.250 0.750
10 Ir 0.250 0.750 0.250
11 Ir 0.750 0.250 0.250
12 Ir 0.750 0.750 0.750
13 Pt 0.000 0.000 0.500
14 Pt 0.000 0.500 0.000
15 Pt 0.500 0.000 0.000
16 Pt 0.500 0.500 0.500

Values from the calculation:
Crystal system: cubic
D(E_F) in states/eV/cell: 18.4
Space group: F-43m (216)
Total moment in μB per cell: 7.37

---

Computed relative energies in units of eV/atom: run i 0.000; run ii 0.322

---

Run i
A PBEsol-optimized structure of Ni2IrPt. Source: the Alexandria database, functional SCAN.

Unit cell a=2.662 b=3.668 c=5.159 alpha=90.00 beta=90.00 gamma=90.00
Positions (direct):
1 Ni 0.000 0.000 0.000
2 Ni 0.500 0.500 0.245
3 Ir 0.500 0.500 0.767
4 Pt 0.000 0.000 0.491

Values from the calculation:
Crystal system: orthorhombic
D(E_F) in states/eV/cell: 4.9
Space group: Pmm2 (25)
Total moment in μB per cell: 2.31

---

Run ii
A PBEsol-optimized structure of Ni2IrPt. Source: the Alexandria database, functional SCAN.

Unit cell a=2.656 b=2.656 c=7.089 alpha=90.00 beta=90.00 gamma=90.00
Positions (direct):
1 Ni 0.000 0.000 0.243
2 Ni 0.000 0.000 0.757
3 Ir 0.500 0.500 0.000
4 Pt 0.500 0.500 0.500

Values from the calculation:
Crystal system: tetragonal
D(E_F) in states/eV/cell: 4.6
Space group: P4/mmm (123)
Total moment in μB per cell: 0.00

---

Run iii
A PBEsol-optimized structure of Ni2IrPt. Source: the Alexandria database, functional SCAN.

Unit cell a=3.771 b=3.771 c=7.029 alpha=90.00 beta=90.00 gamma=90.00
Positions (direct):
1 Ni 0.000 0.500 0.250
2 Ni 0.000 0.500 0.750
3 Ni 0.500 0.000 0.250
4 Ni 0.500 0.000 0.750
5 Ir 0.000 0.000 0.000
6 Ir 0.500 0.500 0.500
7 Pt 0.000 0.000 0.500
8 Pt 0.500 0.500 0.000

Values from the calculation:
Crystal system: tetragonal
D(E_F) in states/eV/cell: 8.8
Space group: I4/mmm (139)
Total moment in μB per cell: 0.00

---

Computed relative energies in units of eV/atom: run i 0.059; run ii 0.000; run iii 0.035

---

Run i
A PBEsol-optimized structure of Ni2IrPt. Source: the Alexandria database, functional SCAN.

Unit cell a=2.657 b=2.657 c=24.843 alpha=90.00 beta=90.00 gamma=120.00
Positions (direct):
1 Ni 0.000 0.000 0.248
2 Ni 0.000 0.000 0.752
3 Ni 0.333 0.667 0.419
4 Ni 0.333 0.667 0.915
5 Ni 0.667 0.333 0.085
6 Ni 0.667 0.333 0.581
7 Ir 0.000 0.000 0.500
8 Ir 0.333 0.667 0.167
9 Ir 0.667 0.333 0.833
10 Pt 0.000 0.000 0.000
11 Pt 0.333 0.667 0.667
12 Pt 0.667 0.333 0.333

Values from the calculation:
Crystal system: trigonal
D(E_F) in states/eV/cell: 13.4
Space group: R-3m (166)
Total moment in μB per cell: 0.02

---

Run ii
A PBEsol-optimized structure of Ni2IrPt. Source: the Alexandria database, functional SCAN.

Unit cell a=2.662 b=3.522 c=5.337 alpha=90.00 beta=90.00 gamma=90.00
Positions (direct):
1 Ni 0.000 0.000 0.240
2 Ni 0.000 0.000 0.760
3 Ir 0.500 0.500 0.000
4 Pt 0.500 0.500 0.500

Values from the calculation:
Crystal system: orthorhombic
D(E_F) in states/eV/cell: 4.4
Space group: Pmmm (47)
Total moment in μB per cell: 0.00

---

Computed relative energies in units of eV/atom: run i 0.007; run ii 0.000

---

Run i
A PBEsol-optimized structure of NiIr2Pt. Source: the Alexandria database, functional SCAN.

Unit cell a=3.787 b=3.787 c=7.506 alpha=90.00 beta=90.00 gamma=90.00
Positions (direct):
1 Ni 0.000 0.000 0.000
2 Ni 0.500 0.500 0.500
3 Ir 0.000 0.500 0.250
4 Ir 0.000 0.500 0.750
5 Ir 0.500 0.000 0.250
6 Ir 0.500 0.000 0.750
7 Pt 0.000 0.000 0.500
8 Pt 0.500 0.500 0.000

Values from the calculation:
Crystal system: tetragonal
D(E_F) in states/eV/cell: 8.7
Space group: I4/mmm (139)
Total moment in μB per cell: 1.30

---

Run ii
A PBEsol-optimized structure of NiIr2Pt. Source: the Alexandria database, functional SCAN.

Unit cell a=8.803 b=2.709 c=4.607 alpha=90.00 beta=100.37 gamma=90.00
Positions (direct):
1 Ni 0.000 0.000 0.000
2 Ni 0.500 0.500 0.000
3 Ir 0.005 0.500 0.516
4 Ir 0.253 0.000 0.744
5 Ir 0.505 0.000 0.516
6 Ir 0.753 0.500 0.744
7 Pt 0.251 0.500 0.239
8 Pt 0.751 0.000 0.239

Values from the calculation:
Crystal system: monoclinic
D(E_F) in states/eV/cell: 7.6
Space group: Cm (8)
Total moment in μB per cell: 1.56

---

Computed relative energies in units of eV/atom: run i 0.038; run ii 0.000